Crystalline AlCr at its relaxed geometry, computed with PBE.

Computed properties:
Space-group type: No. 63
Total energy, eV/atom: -6.5992
Magnetic moment, μB/cell: 3.02
Energy of formation from the pure elements, eV/atom: 0.084

Lattice parameters (Å, degrees): 2.580 9.821 4.215 90.00 90.00 90.00
Fractional coordinates of all 8 atoms:
Al 0.000 0.073 0.250
Al 0.000 0.927 0.750
Al 0.500 0.427 0.750
Al 0.500 0.573 0.250
Cr 0.000 0.325 0.250
Cr 0.000 0.675 0.750
Cr 0.500 0.175 0.750
Cr 0.500 0.825 0.250

Crystalline RbDyCuS2 at its relaxed geometry, computed with PBE.

Computed properties:
Space-group type: No. 13
Total energy, eV/atom: -4.6807
Magnetic moment, μB/cell: 0.00
Uncorrected formation energy, meV/atom: -1097

Lattice parameters (Å, degrees): 7.707 4.656 7.872 90.00 99.73 90.00
Fractional coordinates of all 10 atoms:
Rb 0.000 0.169 0.250
Rb 0.000 0.831 0.750
Dy 0.500 0.493 0.750
Dy 0.500 0.507 0.250
Cu 0.500 0.000 0.000
Cu 0.500 0.000 0.500
S 0.280 0.321 0.966
S 0.280 0.679 0.466
S 0.720 0.321 0.534
S 0.720 0.679 0.034

Crystalline CaCd2Mo at its relaxed geometry, computed with PBE.

Computed properties:
Space-group type: No. 35
Total energy, eV/atom: -3.3305
Magnetic moment, μB/cell: 0.00
Energy of formation from the pure elements, eV/atom: 0.335
Excess energy over the best structure of this formula in the dataset, kJ/mol of formula units: 16

Lattice parameters (Å, degrees): 4.153 4.238 9.733 90.00 90.00 90.00
Fractional coordinates of all 8 atoms:
Ca 0.000 0.000 0.000
Ca 0.500 0.500 0.000
Cd 0.000 0.000 0.473
Cd 0.000 0.500 0.727
Cd 0.500 0.000 0.727
Cd 0.500 0.500 0.473
Mo 0.000 0.500 0.252
Mo 0.500 0.000 0.252